# 1
DFT (GGA-PBE) results for crystalline BaMn2Cu at its relaxed geometry.

abc: 4.823 4.823 3.681
angles: 90.00 90.00 90.00
Space group P4/mmm (No. 123)
Inequivalent atoms, fractional coordinates:
Ba 0.000 0.000 0.000
Mn 0.000 0.500 0.500
Cu 0.500 0.500 0.000

Results
DOS at the Fermi energy: 1.01 states/eV/atom
total magnetic moment: 1.874 μB/atom
formation energy: 0.96 eV/atom

---

# 2
DFT (GGA-PBE) results for crystalline Ba4MnCu at its relaxed geometry.

abc: 10.233 10.233 10.233
angles: 90.00 90.00 90.00
Space group F-43m (No. 216)
Inequivalent atoms, fractional coordinates:
Ba 0.125 0.125 0.125
Mn 0.000 0.000 0.500
Cu 0.250 0.250 0.750

Results
DOS at the Fermi energy: 1.57 states/eV/atom
total magnetic moment: 0.468 μB/atom
formation energy: 0.94 eV/atom

---

# 3
DFT (GGA-PBE) results for crystalline BaMn2Cu at its relaxed geometry.

abc: 4.250 4.250 5.084
angles: 90.00 90.00 90.00
Space group P4/mmm (No. 123)
Inequivalent atoms, fractional coordinates:
Ba 0.000 0.000 0.000
Mn 0.000 0.500 0.500
Cu 0.500 0.500 0.000

Results
DOS at the Fermi energy: 1.07 states/eV/atom
total magnetic moment: 1.982 μB/atom
formation energy: 0.86 eV/atom

---

# 4
DFT (GGA-PBE) results for crystalline BaMnCu3 at its relaxed geometry.

abc: 4.837 4.837 4.837
angles: 90.00 90.00 90.00
Space group Pm-3m (No. 221)
Inequivalent atoms, fractional coordinates:
Ba 0.000 0.000 0.000
Mn 0.500 0.500 0.500
Cu 0.000 0.500 0.500

Results
DOS at the Fermi energy: 0.65 states/eV/atom
total magnetic moment: 0.810 μB/atom
energy above the most stable polymorph in this dataset: 0.0 kJ/mol of atoms
formation energy: 0.39 eV/atom

---

Q: Which of these has the lowest total magnetic moment?
A: Ba4MnCu

---

Q: formation energy of number 1 (BaMn2Cu)?
A: 0.96 eV/atom

---

Please write out number 1 again, unchanged.
DFT (GGA-PBE) results for crystalline BaMn2Cu at its relaxed geometry.

abc: 4.823 4.823 3.681
angles: 90.00 90.00 90.00
Space group P4/mmm (No. 123)
Inequivalent atoms, fractional coordinates:
Ba 0.000 0.000 0.000
Mn 0.000 0.500 0.500
Cu 0.500 0.500 0.000

Results
DOS at the Fermi energy: 1.01 states/eV/atom
total magnetic moment: 1.874 μB/atom
formation energy: 0.96 eV/atom